[1]
Material: LaZr4P
Method: DFT, GGA-PBEsol
State: relaxed

The space group is F-43m (No. 216) and the conventional cell measures 8.163, 8.163 and 8.163 Å, with angles of 90.00, 90.00 and 90.00 degrees. The distinct sites, in fractional coordinates, are La at (0.000, 0.000, 0.000), Zr at (0.127, 0.127, 0.627) and P at (0.250, 0.250, 0.250).

As for the crystal system: cubic. Its energy of formation is 2.2 eV per formula unit. The total energy comes out at -181.23 eV for the cell shown. The spin magnetization is 0.000 μB/f.u.

***

[2]
Material: MgP2CCl
Method: DFT, GGA-PBEsol
State: relaxed

The space group is P4/mmm (No. 123) and the conventional cell measures 4.837, 4.837 and 4.565 Å, with angles of 90.00, 90.00 and 90.00 degrees. The distinct sites, in fractional coordinates, are Mg at (0.000, 0.000, 0.000), P at (0.000, 0.500, 0.000), C at (0.500, 0.500, 0.500) and Cl at (0.000, 0.000, 0.500).

As for the crystal system: tetragonal. The total energy comes out at -15.52 eV for the cell shown. The spin magnetization is 0.804 μB/f.u. As for the formation energy without anion corrections: 1.89 eV/atom.

***

[3]
Material: Be2Al2H
Method: DFT, GGA-PBEsol
State: relaxed

The space group is P4/mbm (No. 127) and the conventional cell measures 6.727, 6.727 and 2.643 Å, with angles of 90.00, 90.00 and 90.00 degrees. The distinct sites, in fractional coordinates, are Be at (0.108, 0.392, 0.000), Al at (0.190, 0.690, 0.500) and H at (0.000, 0.000, 0.000).

As for the crystal system: tetragonal. The calculation puts the relative energy among the computed polymorphs at 0 meV/atom. The total energy comes out at -33.29 eV for the cell shown. The spin magnetization is 0.000 μB/f.u.

***

[4]
Material: Ta2MoW
Method: DFT, GGA-PBEsol
State: relaxed

The space group is Pmmm (No. 47) and the conventional cell measures 3.202, 4.473 and 4.573 Å, with angles of 90.00, 90.00 and 90.00 degrees. The distinct sites, in fractional coordinates, are Ta at (0.000, 0.000, 0.000), Ta at (0.500, 0.000, 0.500), Mo at (0.000, 0.500, 0.500) and W at (0.500, 0.500, 0.000).

As for the crystal system: orthorhombic. Its energy of formation is -0.3 eV per formula unit. The total energy comes out at -51.01 eV for the cell shown. The spin magnetization is 0.000 μB/f.u.

***

[5]
Material: Sc2CdCo
Method: DFT, GGA-PBEsol
State: relaxed

The space group is R-3m (No. 166, hexagonal axes) and the conventional cell measures 3.3264, 3.3264 and 27.3341 Å, with angles of 90.00, 90.00 and 120.00 degrees. The distinct sites, in fractional coordinates, are Sc at (0.0000, 0.0000, 0.1116), Cd at (0.0000, 0.0000, 0.0000) and Co at (0.0000, 0.0000, 0.5000).

As for the crystal system: trigonal. Its energy of formation is 0.4 eV per formula unit. The total energy comes out at -65.34 eV for the cell shown. The spin magnetization is 0.001 μB/f.u.

***

[6]
Material: RbCo2As2
Method: DFT, GGA-PBEsol
State: relaxed

The space group is I4/mmm (No. 139) and the conventional cell measures 3.724, 3.724 and 14.127 Å, with angles of 90.00, 90.00 and 90.00 degrees. The distinct sites, in fractional coordinates, are Rb at (0.000, 0.000, 0.000), Co at (0.000, 0.500, 0.250) and As at (0.000, 0.000, 0.344).

As for the crystal system: tetragonal. Its energy of formation is -2.0 eV per formula unit. The total energy comes out at -57.49 eV for the cell shown. The spin magnetization is 0.000 μB/f.u.